[1]
First-principles (PBE) data for Ho2Tm after structural relaxation, as listed in the Open Quantum Materials Database.

Lattice parameters (Å, degrees): 7.850 7.850 4.924 90.00 90.00 143.42
Element x y z (fractional)
Tm  0.917  0.083  0.250
Tm  0.083  0.917  0.750
Ho  0.583  0.417  0.250
Ho  0.750  0.250  0.750
Ho  0.250  0.750  0.250
Ho  0.417  0.583  0.750

Summary:
formation energy from the elements: 0.0239 eV/atom
excess energy over the best structure of this formula in the dataset: 0 meV/atom

[2]
First-principles (PBE) data for MgFe after structural relaxation, as listed in the Open Quantum Materials Database.

Lattice parameters (Å, degrees): 5.660 5.660 4.465 90.00 90.00 120.03
Last column: magnetic moment on the atom in μB.
Element x y z (fractional)
Mg  0.507  0.493  0.000  -0.02
Mg  0.987  0.493  0.000  -0.02
Mg  0.333  0.667  0.500  -0.02
Mg  0.507  0.013  0.000  -0.02
Fe  0.858  0.142  0.500  2.50
Fe  0.000  0.000  0.000  2.67
Fe  0.284  0.142  0.500  2.44
Fe  0.858  0.716  0.500  2.56

Summary:
total energy: -4.65 eV per atom

[3]
First-principles (PBE) data for CoBi2 after structural relaxation, as listed in the Open Quantum Materials Database.

Lattice parameters (Å, degrees): 6.291 6.291 6.291 60.00 60.00 60.00
Last column: magnetic moment on the atom in μB.
Element x y z (fractional)
Bi  0.625  0.125  0.625  0.00
Bi  0.625  0.625  0.125  0.00
Bi  0.625  0.625  0.625  -0.01
Bi  0.125  0.625  0.625  0.06
Co  0.000  0.000  0.000  2.01
Co  0.250  0.250  0.250  2.01

Summary:
total energy: -3.82 eV per atom

[4]
First-principles (PBE) data for SmGdMo after structural relaxation, as listed in the Open Quantum Materials Database.

Lattice parameters (Å, degrees): 4.940 4.940 4.940 60.00 60.00 60.00
Last column: magnetic moment on the atom in μB.
Element x y z (fractional)
Sm  0.750  0.750  0.750  -0.13
Mo  0.250  0.250  0.250  1.55
Gd  0.000  0.000  0.000  0.12

Summary:
formation energy from the elements: 1.2376 eV/atom
excess energy over the best structure of this formula in the dataset: 0 meV/atom

[5]
First-principles (PBE) data for K2ZrO3 after structural relaxation, as listed in the Open Quantum Materials Database.

Lattice parameters (Å, degrees): 5.861 5.861 6.421 89.97 90.00 60.01
Element x y z (fractional)
K  0.000  0.000  0.000
K  0.333  0.333  0.501
K  0.667  0.667  0.499
K  0.000  0.000  0.500
Zr  0.333  0.333  0.000
Zr  0.667  0.667  0.000
O  0.402  0.000  0.189
O  0.598  0.401  0.189
O  0.000  0.598  0.189
O  0.000  0.402  0.811
O  0.402  0.599  0.811
O  0.598  0.000  0.811

Summary:
total energy: -6.62 eV per atom

[6]
First-principles (PBE) data for LiErAg after structural relaxation, as listed in the Open Quantum Materials Database.

Lattice parameters (Å, degrees): 4.764 4.764 4.764 60.00 60.00 60.00
Element x y z (fractional)
Ag  0.250  0.250  0.250
Er  0.000  0.000  0.000
Li  0.750  0.750  0.750

Summary:
total energy: -2.73 eV per atom

[7]
First-principles (PBE) data for MgCdBi after structural relaxation, as listed in the Open Quantum Materials Database.

Lattice parameters (Å, degrees): 5.065 5.065 5.065 60.00 60.00 60.00
Element x y z (fractional)
Cd  0.250  0.250  0.250
Bi  0.000  0.000  0.000
Mg  0.750  0.750  0.750

Summary:
total energy: -2.15 eV per atom

[8]
First-principles (PBE) data for NdHfO3 after structural relaxation, as listed in the Open Quantum Materials Database.

Lattice parameters (Å, degrees): 5.628 5.940 7.996 90.00 90.00 90.00
Element x y z (fractional)
O  0.312  0.697  0.549
O  0.898  0.539  0.750
O  0.688  0.303  0.049
O  0.102  0.461  0.250
O  0.312  0.697  0.951
O  0.688  0.303  0.451
O  0.188  0.197  0.951
O  0.602  0.039  0.750
O  0.188  0.197  0.549
O  0.398  0.961  0.250
O  0.812  0.803  0.451
O  0.812  0.803  0.049
Hf  0.000  0.500  0.000
Hf  0.500  0.000  0.000
Hf  0.500  0.000  0.500
Hf  0.000  0.500  0.500
Nd  0.992  0.070  0.250
Nd  0.008  0.930  0.750
Nd  0.508  0.570  0.250
Nd  0.492  0.430  0.750

Summary:
total energy: -9.04 eV per atom